(1)
SrTl2Pt (SCAN, PBEsol geometry); energy = -59.7830 eV/atom; calculated formation energy = -0.487 eV/atom; D(E_F) = 5.9 states/eV per cell
1.0
4.755 0.000 0.000
-2.378 4.118 0.000
0.000 0.000 16.117
Sr Tl Pt
3 6 3
direct
0.000 0.000 0.000
0.333 0.667 0.667
0.667 0.333 0.333
0.000 0.000 0.556
0.000 0.000 0.786
0.333 0.667 0.222
0.333 0.667 0.452
0.667 0.333 0.119
0.667 0.333 0.889
0.000 0.000 0.191
0.333 0.667 0.858
0.667 0.333 0.524



(2)
SrTl3Pt (SCAN, PBEsol geometry); energy = -62.0568 eV/atom; calculated formation energy = -0.148 eV/atom; D(E_F) = 3.9 states/eV per cell
1.0
5.304 0.000 0.000
0.000 5.304 0.000
0.000 0.000 5.304
Sr Tl Pt
1 3 1
direct
0.000 0.000 0.000
0.000 0.500 0.500
0.500 0.000 0.500
0.500 0.500 0.000
0.500 0.500 0.500



(3)
Sr2TlPt (SCAN, PBEsol geometry); energy = -47.4794 eV/atom; calculated formation energy = -0.704 eV/atom; excess energy over the best structure of this formula in the dataset = 0 meV per atom; D(E_F) = 2.1 states/eV per cell
1.0
3.740 0.000 0.000
0.000 3.740 0.000
0.000 0.000 7.909
Sr Tl Pt
2 1 1
direct
0.000 0.000 0.218
0.000 0.000 0.782
0.500 0.500 0.500
0.500 0.500 0.000



(4)
SrTlPt2 (SCAN, PBEsol geometry); energy = -59.0782 eV/atom; calculated formation energy = -0.323 eV/atom; D(E_F) = 1.2 states/eV per cell
1.0
4.459 0.000 0.000
0.000 4.459 0.000
0.000 0.000 4.111
Sr Tl Pt
1 1 2
direct
0.000 0.000 0.000
0.500 0.500 0.000
0.000 0.500 0.500
0.500 0.000 0.500



(5)
Sr2PtW (SCAN, PBEsol geometry); energy = -45.3118 eV/atom; calculated formation energy = 0.796 eV/atom; excess energy over the best structure of this formula in the dataset = 594 meV per atom; D(E_F) = 6.0 states/eV per cell
1.0
4.346 0.000 0.000
0.000 4.346 0.000
0.000 0.000 9.548
Sr Pt W
4 2 2
direct
0.000 0.500 0.250
0.000 0.500 0.750
0.500 0.000 0.250
0.500 0.000 0.750
0.000 0.000 0.000
0.500 0.500 0.500
0.000 0.000 0.500
0.500 0.500 0.000



(6)
Sr2PtW (SCAN, PBEsol geometry); energy = -45.9060 eV/atom; calculated formation energy = 0.202 eV/atom; excess energy over the best structure of this formula in the dataset = 0 meV per atom; D(E_F) = 8.2 states/eV per cell
1.0
4.299 0.000 0.000
0.000 4.834 0.000
0.000 0.000 11.068
Sr Pt W
4 2 2
direct
0.000 0.000 0.000
0.000 0.500 0.500
0.500 0.000 0.288
0.500 0.500 0.788
0.500 0.000 0.591
0.500 0.500 0.091
0.000 0.000 0.691
0.000 0.500 0.191